Material: KLa3Mo
Method: DFT, PBE-GGA
State: optimized geometry

Final energy (eV per cell): -24.9
E above lowest polymorph (kJ per mole of atoms): 0.00
Formation enthalpy at 0 K (eV per atom): 0.358

Cell lengths 5.7442, 5.7442, 5.7442 Å; angles 90.00, 90.00, 90.00 degrees
With the nearest neighbours (Å) after each atom.
Space group Pm-3m (No. 221)
Unique sites:
K1 0.0000 0.0000 0.0000 [1 per cell]  12 La 4.06
La1 0.0000 0.5000 0.5000 [3 per cell]  2 Mo 2.87
Mo1 0.5000 0.5000 0.5000 [1 per cell]  6 La 2.87

---

Material: KLaMo2
Method: DFT, PBE-GGA
State: optimized geometry

Final energy (eV per cell): -21.0
E above lowest polymorph (kJ per mole of atoms): 105.73
Formation enthalpy at 0 K (eV per atom): 1.678

Cell lengths 5.3650, 5.3650, 3.5926 Å; angles 90.00, 90.00, 90.00 degrees
With the nearest neighbours (Å) after each atom.
Space group P4/mmm (No. 123)
Unique sites:
K1 0.0000 0.0000 0.0000 [1 per cell]  8 Mo 3.23, 2 K 3.59
La1 0.5000 0.5000 0.0000 [1 per cell]  8 Mo 3.23, 2 La 3.59
Mo1 0.0000 0.5000 0.5000 [2 per cell]  4 La 3.23, 4 K 3.23, 2 Mo 3.59

---

Material: KLaMo2
Method: DFT, PBE-GGA
State: optimized geometry

Final energy (eV per cell): -23.5
E above lowest polymorph (kJ per mole of atoms): 43.68
Formation enthalpy at 0 K (eV per atom): 1.035

Cell lengths 4.1165, 4.1165, 7.4607 Å; angles 90.00, 90.00, 90.00 degrees
With the nearest neighbours (Å) after each atom.
Space group P4/mmm (No. 123)
Unique sites:
K1 0.0000 0.0000 0.0000 [1 per cell]  2 La 3.73, 8 Mo 3.93, 4 K 4.12
La1 0.0000 0.0000 0.5000 [1 per cell]  8 Mo 3.11
Mo1 0.5000 0.5000 0.3537 [2 per cell]  1 Mo 2.18

---

Material: KLaMo2
Method: DFT, PBE-GGA
State: optimized geometry

Final energy (eV per cell): -23.1
E above lowest polymorph (kJ per mole of atoms): 53.54
Formation enthalpy at 0 K (eV per atom): 1.137

Cell lengths 2.8356, 2.8356, 11.4219 Å; angles 90.00, 90.00, 90.00 degrees
With the nearest neighbours (Å) after each atom.
Space group P4/mmm (No. 123)
Unique sites:
K1 0.0000 0.0000 0.0000 [1 per cell]  4 K 2.84
La1 0.0000 0.0000 0.5000 [1 per cell]  4 La 2.84
Mo1 0.5000 0.5000 0.2697 [2 per cell]  4 Mo 2.84

---

Material: KLaMo2
Method: DFT, PBE-GGA
State: optimized geometry

Final energy (eV per cell): -45.5
E above lowest polymorph (kJ per mole of atoms): 63.00
Formation enthalpy at 0 K (eV per atom): 1.235

Cell lengths 5.6755, 11.1786, 2.8009 Å; angles 90.00, 95.91, 90.00 degrees
With the nearest neighbours (Å) after each atom.
Space group C2/m (No. 12)
Unique sites:
K1 0.0000 0.0000 0.0000 [2 per cell]  2 K 2.80, 2 La 2.84
La1 0.0000 0.5000 0.0000 [2 per cell]  2 La 2.80, 2 K 2.84
Mo1 0.2500 0.2500 0.5000 [4 per cell]  4 Mo 2.80-2.84

---

Material: KLaMo2
Method: DFT, PBE-GGA
State: optimized geometry

Final energy (eV per cell): -49.5
E above lowest polymorph (kJ per mole of atoms): 14.28
Formation enthalpy at 0 K (eV per atom): 0.730

Cell lengths 8.1104, 3.2476, 9.3892 Å; angles 90.00, 93.27, 90.00 degrees
With the nearest neighbours (Å) after each atom.
Space group Cm (No. 8)
Unique sites:
K1 0.0000 0.0000 0.0000 [2 per cell]  2 K 3.25, 1 Mo 3.39
La1 0.2703 0.5000 0.4171 [2 per cell]  3 Mo 2.82-3.12
Mo1 0.0199 0.5000 0.6138 [2 per cell]  3 Mo 2.50-2.58
Mo2 0.2422 0.0000 0.7176 [2 per cell]  3 Mo 2.50-2.58

---

Material: KLaMo2
Method: DFT, PBE-GGA
State: optimized geometry

Final energy (eV per cell): -25.4
E above lowest polymorph (kJ per mole of atoms): 0.00
Formation enthalpy at 0 K (eV per atom): 0.582

Cell lengths 3.3060, 3.3060, 10.2378 Å; angles 90.00, 90.00, 90.00 degrees
With the nearest neighbours (Å) after each atom.
Space group P4mm (No. 99)
Unique sites:
K1 0.0000 0.0000 0.0000 [1 per cell]  4 K 3.31
La1 0.5000 0.5000 0.3841 [1 per cell]  5 Mo 3.20-3.39, 4 La 3.31
Mo1 0.0000 0.0000 0.5972 [1 per cell]  4 Mo 2.63
Mo2 0.5000 0.5000 0.7150 [1 per cell]  4 Mo 2.63

---

Material: K4LaMo
Method: DFT, PBE-GGA
State: optimized geometry

Final energy (eV per cell): -52.5
Formation enthalpy at 0 K (eV per atom): 1.170

Cell lengths 10.3273, 10.3273, 10.3273 Å; angles 90.00, 90.00, 90.00 degrees
With the nearest neighbours (Å) after each atom.
Space group F-43m (No. 216)
Unique sites:
K1 0.1237 0.1237 0.3763 [16 per cell]  6 K 3.61-3.69
La1 0.0000 0.0000 0.0000 [4 per cell]  12 K 4.29, 4 Mo 4.47
Mo1 0.2500 0.2500 0.7500 [4 per cell]  12 K 4.28, 4 La 4.47

---

Material: KLaMo2
Method: DFT, PBE-GGA
State: optimized geometry

Final energy (eV per cell): -67.6
E above lowest polymorph (kJ per mole of atoms): 67.98
Formation enthalpy at 0 K (eV per atom): 1.287

Cell lengths 2.9700, 2.9700, 35.4265 Å; angles 90.00, 90.00, 120.00 degrees
With the nearest neighbours (Å) after each atom.
Space group R-3m (No. 166, hexagonal axes)
Unique sites:
K1 0.0000 0.0000 0.0000 [3 per cell]  6 K 2.97
La1 0.0000 0.0000 0.5000 [3 per cell]  6 La 2.97, 6 Mo 3.30
Mo1 0.0000 0.0000 0.2461 [6 per cell]  6 Mo 2.97, 3 La 3.30

---

Material: KLaMo2
Method: DFT, PBE-GGA
State: optimized geometry

Final energy (eV per cell): -90.5
E above lowest polymorph (kJ per mole of atoms): 65.72
Formation enthalpy at 0 K (eV per atom): 1.263

Cell lengths 7.0951, 7.0951, 7.0951 Å; angles 90.00, 90.00, 90.00 degrees
With the nearest neighbours (Å) after each atom.
Space group F-43m (No. 216)
Unique sites:
K1 0.0000 0.0000 0.0000 [4 per cell]  4 La 3.07, 4 Mo 3.07
La1 0.2500 0.2500 0.7500 [4 per cell]  4 Mo 3.07, 4 K 3.07
Mo1 0.0000 0.0000 0.5000 [4 per cell]  4 Mo 3.07, 4 La 3.07
Mo2 0.2500 0.2500 0.2500 [4 per cell]  4 K 3.07, 4 Mo 3.07

---

Material: KLaMo2
Method: DFT, PBE-GGA
State: optimized geometry

Final energy (eV per cell): -22.6
E above lowest polymorph (kJ per mole of atoms): 65.84
Formation enthalpy at 0 K (eV per atom): 1.265

Cell lengths 3.9872, 3.9987, 5.4860 Å; angles 90.00, 90.00, 90.00 degrees
With the nearest neighbours (Å) after each atom.
Space group Pmmm (No. 47)
Unique sites:
K1 0.0000 0.0000 0.0000 [1 per cell]  4 La 2.82
La1 0.5000 0.5000 0.0000 [1 per cell]  4 K 2.82
Mo1 0.0000 0.5000 0.5000 [1 per cell]  4 Mo 2.82
Mo2 0.5000 0.0000 0.5000 [1 per cell]  4 Mo 2.82

---

Material: KLaMoN3
Method: DFT, PBE-GGA
State: optimized geometry

E_form (uncorrected) (eV/atom): -0.527
Final energy (eV per cell): -180.0

Cell lengths 14.1412, 3.9557, 8.0266 Å; angles 90.00, 105.46, 90.00 degrees
With the nearest neighbours (Å) after each atom.
Space group C2/m (No. 12)
Unique sites:
K1 0.1397 0.0000 0.0681 [4 per cell]  6 N 2.94-3.22
La1 0.1638 0.0000 0.6028 [4 per cell]  7 N 2.51-2.78
Mo1 0.0091 0.5000 0.3232 [4 per cell]  4 N 1.91-1.99
N1 0.0126 0.0000 0.3462 [4 per cell]  2 Mo 1.99
N2 0.1279 0.5000 0.7920 [4 per cell]  1 Mo 1.91
N3 0.1537 0.5000 0.3559 [4 per cell]  1 Mo 1.99

---

Please write out number 2 again, unchanged.
Material: KLaMo2
Method: DFT, PBE-GGA
State: optimized geometry

Final energy (eV per cell): -21.0
E above lowest polymorph (kJ per mole of atoms): 105.73
Formation enthalpy at 0 K (eV per atom): 1.678

Cell lengths 5.3650, 5.3650, 3.5926 Å; angles 90.00, 90.00, 90.00 degrees
With the nearest neighbours (Å) after each atom.
Space group P4/mmm (No. 123)
Unique sites:
K1 0.0000 0.0000 0.0000 [1 per cell]  8 Mo 3.23, 2 K 3.59
La1 0.5000 0.5000 0.0000 [1 per cell]  8 Mo 3.23, 2 La 3.59
Mo1 0.0000 0.5000 0.5000 [2 per cell]  4 La 3.23, 4 K 3.23, 2 Mo 3.59